# RbCuTe

RbCuTe after structural relaxation (PBE-GGA, OQMD).

The structure belongs to space group C2/m (No. 12); the cell edges are 13.989, 4.387 and 6.638 Å and the angles 90.00°, 102.97° and 90.00°. Symmetry generates all atoms from Rb at (0.099, 0.000, 0.304), Cu at (0.217, 0.000, 0.917) and Te at (0.128, 0.500, 0.772).

The value obtained for the total energy is -9.6 eV/f.u.

***

# RbTm2Cu3Te5

RbTm2Cu3Te5 after structural relaxation (PBE-GGA, OQMD).

The structure belongs to space group Cmcm (No. 63); the cell edges are 4.354, 15.372 and 18.086 Å and the angles 90.00°, 90.00° and 90.00°. Symmetry generates all atoms from Rb at (0.000, 0.056, 0.250), Tm at (0.000, 0.191, 0.591), Cu at (0.000, 0.341, 0.250), Cu at (0.000, 0.415, 0.524), Te at (0.000, 0.165, 0.074), Te at (0.000, 0.250, 0.750) and Te at (0.000, 0.443, 0.119).

As for the total magnetic moment: 0.000 μB per formula unit. The value obtained for the total energy is -45.8 eV/f.u.

***

# RbUCuTe3

RbUCuTe3 after structural relaxation (PBE-GGA, OQMD).

The structure belongs to space group Cmcm (No. 63); the cell edges are 4.351, 16.128 and 11.425 Å and the angles 90.00°, 90.00° and 90.00°. Symmetry generates all atoms from Rb at (0.000, 0.245, 0.250), U at (0.000, 0.500, 0.000), Cu at (0.000, 0.035, 0.750), Te at (0.000, 0.127, 0.560) and Te at (0.000, 0.437, 0.750).

As for the total magnetic moment: 2.004 μB per formula unit. The value obtained for the total energy is -29.7 eV/f.u.

***

# RbCuTe3W

RbCuTe3W after structural relaxation (PBE-GGA, OQMD).

The structure belongs to space group Cmcm (No. 63); the cell edges are 4.094, 16.455 and 10.563 Å and the angles 90.00°, 90.00° and 90.00°. Symmetry generates all atoms from Rb at (0.000, 0.244, 0.250), Cu at (0.000, 0.468, 0.750), Te at (0.000, 0.067, 0.750), Te at (0.000, 0.387, 0.544) and W at (0.000, 0.000, 0.000).

As for the total magnetic moment: 1.983 μB per formula unit. The value obtained for the total energy is -27.8 eV/f.u.

***

# RbThCu

RbThCu after structural relaxation (PBE-GGA, OQMD).

The structure belongs to space group F-43m (No. 216); the cell edges are 7.253, 7.253 and 7.253 Å and the angles 90.00°, 90.00° and 90.00°. Symmetry generates all atoms from Rb at (0.000, 0.000, 0.000), Th at (0.000, 0.000, 0.500) and Cu at (0.250, 0.250, 0.250).

As for the total magnetic moment: 0.762 μB per formula unit. The value obtained for the total energy is -9.0 eV/f.u.

***

# RbUCu

RbUCu after structural relaxation (PBE-GGA, OQMD).

The structure belongs to space group F-43m (No. 216); the cell edges are 7.327, 7.327 and 7.327 Å and the angles 90.00°, 90.00° and 90.00°. Symmetry generates all atoms from Rb at (0.000, 0.000, 0.000), U at (0.000, 0.000, 0.500) and Cu at (0.250, 0.250, 0.250).

As for the total magnetic moment: 3.942 μB per formula unit. The value obtained for the total energy is -11.5 eV/f.u.

***

# Rb2Cu2W3

Rb2Cu2W3 after structural relaxation (PBE-GGA, OQMD).

The structure belongs to space group R3m (No. 160, hexagonal axes); the cell edges are 4.3364, 4.3364 and 34.9868 Å and the angles 90.00°, 90.00° and 120.00°. Symmetry generates all atoms from Rb at (0.0000, 0.0000, 0.0000), Rb at (0.0000, 0.0000, 0.4300), Cu at (0.0000, 0.0000, 0.1612), Cu at (0.0000, 0.0000, 0.6100), W at (0.0000, 0.0000, 0.2345), W at (0.0000, 0.0000, 0.5399) and W at (0.0000, 0.0000, 0.8553).

As for the total magnetic moment: 0.025 μB per formula unit. The value obtained for the total energy is -42.4 eV/f.u.

***

# Cu3ReS4

Cu3ReS4 after structural relaxation (PBE-GGA, OQMD).

The structure belongs to space group I-42m (No. 121); the cell edges are 5.316, 5.316 and 10.292 Å and the angles 90.00°, 90.00° and 90.00°. Symmetry generates all atoms from Cu at (0.000, 0.000, 0.000), Cu at (0.000, 0.500, 0.250), Re at (0.000, 0.000, 0.500) and S at (0.245, 0.245, 0.376).

As for the total magnetic moment: 0.059 μB per formula unit. The value obtained for the total energy is -41.8 eV/f.u.